[1]
## Dy5Tl2Tc (PBE-GGA)

Data for Dy5Tl2Tc after structural relaxation.

```
Dy5Tl2Tc
1.0
5.479 0.000 0.000
-2.739 8.258 0.000
0.000 0.000 12.337
Dy Tl Tc
10 4 2
direct
0.931 0.861 0.895
0.931 0.861 0.605
0.293 0.585 0.424
0.293 0.585 0.076
0.701 0.402 0.250
0.299 0.598 0.750
0.707 0.415 0.576
0.707 0.415 0.924
0.069 0.139 0.105
0.069 0.139 0.395
0.878 0.755 0.369
0.878 0.755 0.131
0.122 0.245 0.631
0.122 0.245 0.869
0.816 0.633 0.750
0.184 0.367 0.250
```

Computed properties:
relative energy among the computed polymorphs	363	meV per atom

***

[2]
## Dy5TlTc2 (PBE-GGA)

Data for Dy5TlTc2 after structural relaxation.

```
Dy5TlTc2
1.0
6.824 0.000 -3.221
-1.521 6.652 -3.221
0.121 0.151 9.094
Dy Tl Tc
10 2 4
direct
0.539 0.691 0.730
0.809 0.961 0.270
0.000 0.000 0.000
0.500 0.500 0.000
0.191 0.039 0.730
0.691 0.191 0.730
0.039 0.539 0.730
0.309 0.809 0.270
0.961 0.461 0.270
0.461 0.309 0.270
0.750 0.750 0.500
0.250 0.250 0.500
0.116 0.384 0.000
0.616 0.116 0.000
0.384 0.884 0.000
0.884 0.616 0.000
```

***

[3]
## Dy12Tl6Tc (PBE-GGA)

Data for Dy12Tl6Tc after structural relaxation.

```
Dy12Tl6Tc
1.0
-8.266 0.436 -0.643
0.908 -3.619 -7.417
-0.178 -7.226 4.085
Dy Tl Tc
12 6 1
direct
0.796 0.569 0.454
0.454 0.796 0.569
0.569 0.454 0.796
0.204 0.431 0.546
0.546 0.204 0.431
0.431 0.546 0.204
0.978 0.093 0.316
0.907 0.684 0.022
0.684 0.022 0.907
0.022 0.907 0.684
0.093 0.316 0.978
0.316 0.978 0.093
0.658 0.866 0.270
0.730 0.342 0.134
0.134 0.730 0.342
0.342 0.134 0.730
0.270 0.658 0.866
0.866 0.270 0.658
0.000 0.000 0.000
```

***

| no. | calculated formation energy (eV per formula unit) | raw total energy (eV per atom) |
| --- | --- | --- |
| 1 | 1.1 | -4.62 |
| 2 | -1.2 | -5.91 |
| 3 | -2.0 | -4.30 |